(one)
Here is B2PPtRhC after structural relaxation from Alexandria via LeMat-Bulk. Energies are from PBE.

CIF file:
```
data_B2PPtRhC
_cell_length_a 7.783
_cell_length_b 2.829
_cell_length_c 6.576
_cell_angle_alpha 90.00
_cell_angle_beta 107.53
_cell_angle_gamma 90.00
_space_group_name_H-M_alt 'C 1 m 1'
_space_group_IT_number 8
loop_
_space_group_symop_operation_xyz
'x,y,z'
'x,-y,z'
'x+1/2,y+1/2,z'
'x+1/2,-y+1/2,z'
loop_
_atom_site_label
_atom_site_type_symbol
_atom_site_fract_x
_atom_site_fract_y
_atom_site_fract_z
_atom_site_occupancy
B1 B 0.000 0.000 0.000 1
B2 B 0.193 0.000 0.879 1
P1 P 0.467 0.000 0.379 1
Pt1 Pt 0.422 0.500 0.639 1
Rh1 Rh 0.185 0.500 0.206 1
C1 C 0.293 0.500 0.918 1
```

Summary:
- D(E_F) (states/eV per atom) = 0.164
- total moment (Bohr magnetons per cell) = 0.00
- calculated volume (A^3/atom) = 11.505



(two)
Here is B2PPtRhC after structural relaxation from Alexandria via LeMat-Bulk. Energies are from PBE.

CIF file:
```
data_B2PPtRhC
_cell_length_a 7.732
_cell_length_b 2.797
_cell_length_c 6.680
_cell_angle_alpha 90.00
_cell_angle_beta 106.38
_cell_angle_gamma 90.00
_space_group_name_H-M_alt 'C 1 m 1'
_space_group_IT_number 8
loop_
_space_group_symop_operation_xyz
'x,y,z'
'x,-y,z'
'x+1/2,y+1/2,z'
'x+1/2,-y+1/2,z'
loop_
_atom_site_label
_atom_site_type_symbol
_atom_site_fract_x
_atom_site_fract_y
_atom_site_fract_z
_atom_site_occupancy
B1 B 0.000 0.000 0.000 1
B2 B 0.196 0.000 0.880 1
P1 P 0.143 0.000 0.449 1
Pt1 Pt 0.423 0.500 0.629 1
Rh1 Rh 0.187 0.500 0.192 1
C1 C 0.296 0.500 0.900 1
```

Summary:
- D(E_F) (states/eV per atom) = 0.077
- total moment (Bohr magnetons per cell) = 0.00
- calculated volume (A^3/atom) = 11.549



(three)
Here is B2PPtRhC after structural relaxation from Alexandria via LeMat-Bulk. Energies are from PBE.

CIF file:
```
data_B2PPtRhC
_cell_length_a 4.295
_cell_length_b 3.201
_cell_length_c 5.481
_cell_angle_alpha 90.00
_cell_angle_beta 107.62
_cell_angle_gamma 90.00
_space_group_name_H-M_alt 'P 1 m 1'
_space_group_IT_number 6
loop_
_space_group_symop_operation_xyz
'x,y,z'
'x,-y,z'
loop_
_atom_site_label
_atom_site_type_symbol
_atom_site_fract_x
_atom_site_fract_y
_atom_site_fract_z
_atom_site_occupancy
B1 B 0.000 0.000 0.000 1
B2 B 0.334 0.000 0.637 1
P1 P 0.416 0.000 0.289 1
Pt1 Pt 0.741 0.500 0.116 1
Rh1 Rh 0.679 0.500 0.606 1
C1 C 0.052 0.000 0.739 1
```

Summary:
- D(E_F) (states/eV per atom) = 0.142
- total moment (Bohr magnetons per cell) = 0.00
- calculated volume (A^3/atom) = 11.968



(four)
Here is B2PPtRhC after structural relaxation from Alexandria via LeMat-Bulk. Energies are from PBE.

CIF file:
```
data_B2PPtRhC
_cell_length_a 2.832
_cell_length_b 3.914
_cell_length_c 7.312
_cell_angle_alpha 81.57
_cell_angle_beta 78.95
_cell_angle_gamma 68.84
_space_group_name_H-M_alt 'P 1'
_space_group_IT_number 1
loop_
_space_group_symop_operation_xyz
'x,y,z'
loop_
_atom_site_label
_atom_site_type_symbol
_atom_site_fract_x
_atom_site_fract_y
_atom_site_fract_z
_atom_site_occupancy
B1 B 0.000 0.000 0.000 1
B2 B 0.178 0.550 0.096 1
P1 P 0.408 0.617 0.572 1
Pt1 Pt 0.683 0.332 0.305 1
Rh1 Rh 0.644 0.010 0.709 1
C1 C 0.407 0.195 0.990 1
```

Summary:
- D(E_F) (states/eV per atom) = 0.245
- total moment (Bohr magnetons per cell) = 0.00
- calculated volume (A^3/atom) = 12.320



Least stable: (three)